The following is a GGA-PBE calculation of an optimized crystal structure of Ho3Ag2Hg2, from Alexandria via LeMat-Bulk.

Total magnetic moment = 0.00 μB/cell
Total energy = -3.182 eV/atom
Theoretical density = 11004 kg/m3
Formation energy from the elements = -0.3188 eV per atom
DOS(E_F) = 0.6232 states/eV per atom

The structure in POSCAR format:
```
Ho3Ag2Hg2
1.0
4.8826 0.0000 0.0000
-2.4333 5.0015 0.0000
-0.0093 -1.7008 6.8696
Ho Ag Hg
3 2 2
Direct
0.0000 0.0000 0.0000 Ho
0.3738 0.7480 0.2751 Ho
0.6262 0.2520 0.7249 Ho
0.1160 0.2317 0.4276 Ag
0.8840 0.7683 0.5724 Ag
0.3275 0.6555 0.8067 Hg
0.6725 0.3445 0.1933 Hg
```